Entry 1:
# ZrGe2Pt8 GGA-PBE relaxed
# Formation energy in eV per atom: -0.38
# Theoretical density in Mg/m³: 14.97
data_ZrGe2Pt8
_chemical_formula_sum 'Zr2 Ge4 Pt16'
_cell_length_a 13.5139
_cell_length_b 4.0349
_cell_length_c 7.3179
_cell_angle_alpha 90.00
_cell_angle_beta 91.98
_cell_angle_gamma 90.00
_symmetry_space_group_name_H-M 'C 1 2/m 1'
_symmetry_Int_Tables_number 12
loop_
_symmetry_equiv_pos_as_xyz
'x,y,z'
'-x,-y,-z'
'-x,y,-z'
'x,-y,z'
'x+1/2,y+1/2,z'
'-x+1/2,-y+1/2,-z'
'-x+1/2,y+1/2,-z'
'x+1/2,-y+1/2,z'
loop_
_atom_site_label
_atom_site_fract_x
_atom_site_fract_y
_atom_site_fract_z
Zr1 0.0000 0.0000 0.0000
Ge1 0.2295 0.0000 0.2477
Pt1 0.0557 0.0000 0.3544
Pt2 0.0705 0.5000 0.7658
Pt3 0.1828 0.5000 0.4399
Pt4 0.1967 0.0000 0.9049

=====

Entry 2:
# CaEr3Mg4 GGA-PBE relaxed
# Formation energy in eV per atom: -0.06
# Theoretical density in Mg/m³: 4.79
data_CaEr3Mg4
_chemical_formula_sum 'Ca1 Er3 Mg4'
_cell_length_a 3.7579
_cell_length_b 5.4262
_cell_length_c 10.8545
_cell_angle_alpha 90.00
_cell_angle_beta 90.00
_cell_angle_gamma 90.00
_symmetry_space_group_name_H-M 'P m m m'
_symmetry_Int_Tables_number 47
loop_
_symmetry_equiv_pos_as_xyz
'x,y,z'
'-x,-y,-z'
'-x,-y,z'
'x,y,-z'
'x,-y,-z'
'-x,y,z'
'-x,y,-z'
'x,-y,z'
loop_
_atom_site_label
_atom_site_fract_x
_atom_site_fract_y
_atom_site_fract_z
Ca1 0.0000 0.0000 0.0000
Er1 0.0000 0.0000 0.5000
Er2 0.0000 0.5000 0.2555
Mg1 0.5000 0.0000 0.2566
Mg2 0.5000 0.5000 0.0000
Mg3 0.5000 0.5000 0.5000

=====

Entry 3:
# YSiH2 GGA-PBE relaxed
# Theoretical density in Mg/m³: 3.88
# DFT total energy in eV/atom: -4.682
data_YSiH2
_chemical_formula_sum 'Y4 Si4 H8'
_cell_length_a 4.1090
_cell_length_b 4.1090
_cell_length_c 12.0605
_cell_angle_alpha 90.00
_cell_angle_beta 90.00
_cell_angle_gamma 90.00
_symmetry_space_group_name_H-M 'I -4 2 d'
_symmetry_Int_Tables_number 122
_symmetry_space_group_name_Hall 'I -4 2bw'
loop_
_atom_site_label
_atom_site_fract_x
_atom_site_fract_y
_atom_site_fract_z
Y1 0.0000 0.0000 0.0000
Si1 0.0000 0.0000 0.5000
H1 0.1520 0.2500 0.6250